A relaxed FeHgSN2 crystal, computed with PBE-GGA.

Properties
Its energy is -25.41 eV/cell. Its energy above the most stable polymorph in this dataset is 0.000 eV/atom. The raw formation energy is 0.827 eV/atom.

a = 3.632 Å, b = 3.632 Å, c = 5.313 Å
α = 90.00°, β = 90.00°, γ = 90.00°
Space group P4/mmm (No. 123)
Symmetry-distinct sites (fractional):
Fe1 0.000 0.000 0.000 x1
Hg1 0.500 0.500 0.500 x1
S1 0.000 0.000 0.500 x1
N1 0.000 0.500 0.000 x2